Entry 1:
This record from the Alexandria database describes crystalline TaAlRu2 at its relaxed geometry. The functional is PBE-GGA.

## Properties
The energy relative to the elements is -25.9 kJ/mol of atoms. The electronic total energy comes out at -8.80 eV per atom.

```
TaAlRu2
1.0
-0.991 -0.007 4.058
-1.956 -1.949 -0.481
3.131 -4.074 0.758
Al Ru Ta
1 2 1
direct
0.500 0.750 0.750 Al
0.000 0.503 0.514 Ru
0.000 0.997 0.986 Ru
0.500 0.250 0.250 Ta
```



Entry 2:
This record from the Alexandria database describes crystalline MgCoTcH2 at its relaxed geometry. The functional is PBE-GGA.

## Properties
The electronic total energy comes out at -4.40 eV per atom.

```
MgCoTcH2
1.0
-2.580 -2.503 0.374
2.303 -2.773 -2.673
1.722 -1.345 2.879
Co H Mg Tc
1 2 1 1
direct
0.000 0.000 0.000 Co
0.000 0.000 0.500 H
0.500 0.000 0.000 H
0.500 0.500 0.500 Mg
0.000 0.500 0.000 Tc
```



Entry 3:
This record from the Alexandria database describes crystalline DyBPd6 at its relaxed geometry. The functional is PBE-GGA.

## Properties
The energy relative to the elements is -40.2 kJ/mol of atoms. The electronic total energy comes out at -5.72 eV per atom.

```
DyBPd6
1.0
-3.376 -2.340 3.811
2.129 -1.980 4.790
-1.095 3.063 5.030
B Pd Dy
1 6 1
direct
0.000 0.000 0.000 B
0.094 0.094 0.238 Pd
0.094 0.575 0.238 Pd
0.575 0.094 0.238 Pd
0.906 0.425 0.762 Pd
0.425 0.906 0.762 Pd
0.906 0.906 0.762 Pd
0.500 0.500 0.500 Dy
```



Entry 4:
This record from the Alexandria database describes crystalline MgTePd at its relaxed geometry. The functional is PBE-GGA.

## Properties
The electronic total energy comes out at -3.77 eV per atom.

```
MgTePd
1.0
-0.883 4.082 -5.843
-1.086 -3.253 -2.172
-4.144 0.657 1.089
Te Pd Mg
2 2 2
direct
0.173 0.978 0.221 Te
0.768 0.470 0.723 Te
0.191 0.481 0.721 Pd
0.496 0.482 0.222 Pd
0.772 0.971 0.223 Mg
0.443 0.978 0.722 Mg
```



Entry 5:
This record from the Alexandria database describes crystalline Mn2VReP at its relaxed geometry. The functional is PBE-GGA.

## Properties
The energy relative to the elements is 135.4 kJ/mol of atoms. The electronic total energy comes out at -7.66 eV per atom.

```
Mn2VReP
1.0
4.364 0.000 0.000
0.000 4.515 0.000
0.000 0.000 4.364
Re Mn P V
1 2 1 1
direct
0.000 0.500 0.000 Re
0.000 0.000 0.500 Mn
0.500 0.000 0.000 Mn
0.500 0.500 0.500 P
0.000 0.000 0.000 V
```



Entry 6:
This record from the Alexandria database describes crystalline ScCd2Fe at its relaxed geometry. The functional is PBE-GGA.

## Properties
The energy relative to the elements is 14.8 kJ/mol of atoms. The electronic total energy comes out at -4.00 eV per atom.

```
ScCd2Fe
1.0
9.601 0.021 0.013
9.094 3.078 0.013
9.094 1.508 2.683
Fe Cd Sc
1 2 1
direct
0.497 0.497 0.497 Fe
0.241 0.241 0.241 Cd
0.002 0.002 0.002 Cd
0.760 0.760 0.760 Sc
```



Entry 7:
This record from the Alexandria database describes crystalline RbPdBr3 at its relaxed geometry. The functional is PBE-GGA.

## Properties
The electronic total energy comes out at -2.83 eV per atom.

```
RbPdBr3
1.0
5.636 0.000 0.000
0.000 5.636 0.000
2.818 2.818 11.943
Br Rb Pd
6 2 2
direct
0.172 0.914 0.171 Br
0.086 0.343 0.829 Br
0.657 0.914 0.171 Br
0.746 0.746 0.508 Br
0.254 0.254 0.492 Br
0.086 0.828 0.829 Br
0.657 0.157 0.687 Rb
0.843 0.343 0.313 Rb
0.000 0.000 0.000 Pd
0.250 0.750 0.500 Pd
```



Entry 8:
This record from the Alexandria database describes crystalline AlAgTe2I at its relaxed geometry. The functional is PBE-GGA.

## Properties
The electronic total energy comes out at -2.43 eV per atom. The calculation puts the offset from the most stable computed form at 0.159 eV/atom.

```
AlAgTe2I
1.0
5.457 0.000 0.000
0.000 5.457 0.000
0.000 0.000 5.792
Al I Te Ag
1 1 2 1
direct
0.500 0.500 0.500 Al
0.000 0.000 0.500 I
0.000 0.500 0.000 Te
0.500 0.000 0.000 Te
0.000 0.000 0.000 Ag
```



Entry 9:
This record from the Alexandria database describes crystalline Sr3GaGe6Pd2 at its relaxed geometry. The functional is PBE-GGA.

## Properties
The energy relative to the elements is -23.9 kJ/mol of atoms. The electronic total energy comes out at -4.09 eV per atom.

```
Sr3GaGe6Pd2
1.0
-5.262 2.666 -1.817
3.981 -2.148 -4.199
-4.000 -7.770 0.182
Ge Sr Ga Pd
6 3 1 2
direct
0.808 0.192 0.724 Ge
0.808 0.615 0.724 Ge
0.615 0.808 0.276 Ge
0.385 0.192 0.724 Ge
0.192 0.808 0.276 Ge
0.192 0.385 0.276 Ge
0.000 0.000 0.000 Sr
0.333 0.667 0.622 Sr
0.667 0.333 0.378 Sr
0.000 0.000 0.500 Ga
0.333 0.667 0.031 Pd
0.667 0.333 0.969 Pd
```



Entry 10:
This record from the Alexandria database describes crystalline LaPr2Si2 at its relaxed geometry. The functional is PBE-GGA.

## Properties
The electronic total energy comes out at -5.60 eV per atom. The calculation puts the offset from the most stable computed form at 0.075 eV/atom.

```
LaPr2Si2
1.0
4.505 0.000 0.000
2.252 6.266 0.150
2.252 1.191 9.718
Pr Si La
4 4 2
direct
0.488 0.338 0.686 Pr
0.317 0.277 0.089 Pr
0.512 0.662 0.314 Pr
0.683 0.723 0.911 Pr
0.107 0.346 0.440 Si
0.031 0.846 0.093 Si
0.893 0.654 0.560 Si
0.969 0.154 0.907 Si
0.216 0.922 0.647 La
0.784 0.078 0.353 La
```



Entry 11:
This record from the Alexandria database describes crystalline PuSc3Ru3 at its relaxed geometry. The functional is PBE-GGA.

## Properties
The energy relative to the elements is -38.7 kJ/mol of atoms. The electronic total energy comes out at -9.14 eV per atom.

```
PuSc3Ru3
1.0
-1.442 4.873 -4.040
-5.807 -2.533 -1.416
-2.611 3.265 4.874
Ru Sc Pu
6 6 2
direct
0.000 0.000 0.748 Ru
0.500 0.000 0.244 Ru
0.500 0.000 0.756 Ru
0.000 0.000 0.252 Ru
0.000 0.500 0.244 Ru
0.000 0.500 0.756 Ru
0.241 0.241 0.500 Sc
0.251 0.749 0.500 Sc
0.245 0.755 0.000 Sc
0.749 0.251 0.500 Sc
0.755 0.245 0.000 Sc
0.759 0.759 0.500 Sc
0.740 0.740 0.000 Pu
0.260 0.260 0.000 Pu
```



Entry 12:
This record from the Alexandria database describes crystalline CaCd2Re at its relaxed geometry. The functional is PBE-GGA.

## Properties
The energy relative to the elements is 50.2 kJ/mol of atoms. The electronic total energy comes out at -3.55 eV per atom. The calculation puts the offset from the most stable computed form at 0.110 eV/atom.

```
CaCd2Re
1.0
-4.644 -3.640 -1.402
0.754 -6.017 -0.071
-0.058 5.297 2.952
Ca Re Cd
1 1 2
direct
0.265 0.765 0.500 Ca
0.512 0.512 0.000 Re
0.736 0.236 0.500 Cd
0.988 0.988 0.000 Cd
```